! HoBRu, optimized geometry, DFT PBE; values from VASP
&SYSTEM
  ibrav = 0, nat = 3, ntyp = 3
/
ATOMIC_SPECIES
Ru 101.07 Ru.upf
B 10.81 B.upf
Ho 164.93 Ho.upf
ATOMIC_POSITIONS angstrom
Ru -0.677 0.196 -0.043
B -1.228 -1.792 -0.436
Ho -3.183 -0.506 1.415
CELL_PARAMETERS angstrom
-4.060 1.178 -0.259
-0.628 -2.686 -2.373
-0.400 -0.594 3.567
! Electronic total energy in eV per atom: -7.29
! Symmetry: P-6m2, No. 187
! Total magnetization in Bohr magnetons per cell: 0.0
! Energy of formation from the pure elements in eV per atom: -0.45

! ZrGa2Pt6, optimized geometry, DFT PBE; values from VASP
&SYSTEM
  ibrav = 0, nat = 9, ntyp = 3
/
ATOMIC_SPECIES
Zr 91.22 Zr.upf
Ga 69.72 Ga.upf
Pt 195.08 Pt.upf
ATOMIC_POSITIONS angstrom
Zr 1.835 0.701 0.447
Ga 0.000 3.434 0.167
Ga 0.000 1.601 3.043
Pt 1.835 2.978 1.899
Pt 1.835 3.195 4.655
Pt 1.835 5.569 0.932
Pt 0.000 4.758 3.033
Pt 3.669 1.166 5.488
Pt 3.669 5.467 -1.259
CELL_PARAMETERS angstrom
3.669 0.000 0.000
0.000 6.163 -3.298
0.000 -0.389 6.979
! Electronic total energy in eV per atom: -6.18
! Symmetry: Amm2, No. 38
! Total magnetization in Bohr magnetons per cell: 0.0
! Energy of formation from the pure elements in eV per atom: -0.53

! LaGa8Ir4, optimized geometry, DFT PBE; values from VASP
&SYSTEM
  ibrav = 0, nat = 13, ntyp = 3
/
ATOMIC_SPECIES
La 138.91 La.upf
Ga 69.72 Ga.upf
Ir 192.22 Ir.upf
ATOMIC_POSITIONS angstrom
La 0.000 0.000 0.000
Ga 0.401 -5.348 -0.425
Ga 1.913 -4.433 -2.373
Ga 0.432 -7.352 -3.118
Ga -1.170 -5.284 -3.390
Ga 1.052 -5.457 -5.085
Ga -1.790 -7.178 -1.423
Ga -0.349 -2.946 -1.655
Ga -0.389 -9.689 -4.853
Ir -0.687 -3.212 0.932
Ir -2.214 -4.639 -0.923
Ir 1.845 -1.679 -2.331
Ir 0.319 -3.106 -4.186
CELL_PARAMETERS angstrom
-3.053 -2.854 -3.710
3.690 -3.358 -4.661
-1.375 -6.423 1.863
! Electronic total energy in eV per atom: -5.43
! Symmetry: I4/mmm, No. 139
! Total magnetization in Bohr magnetons per cell: 0.0
! Energy of formation from the pure elements in eV per atom: -0.46

! Pu2MgTaN4, optimized geometry, DFT PBE; values from VASP
&SYSTEM
  ibrav = 0, nat = 8, ntyp = 4
/
ATOMIC_SPECIES
Pu 244.00 Pu.upf
Mg 24.30 Mg.upf
Ta 180.95 Ta.upf
N 14.01 N.upf
ATOMIC_POSITIONS angstrom
Pu -1.305 1.018 -2.842
Pu -3.256 0.384 -0.253
Mg 0.000 0.000 0.000
Ta -1.985 -2.640 -0.021
N -1.625 -0.926 -1.343
N -4.921 -0.312 -1.772
N -3.050 2.262 -1.698
N -3.461 -1.493 1.193
CELL_PARAMETERS angstrom
-0.034 -2.006 -2.610
-3.936 -3.274 2.568
-2.575 4.043 -3.074
! Electronic total energy in eV per atom: -10.56
! Symmetry: P2/m, No. 10
! Total magnetization in Bohr magnetons per cell: 9.3
! Formation energy from raw total energies in eV per formula unit: -9.1

! LuNbGe2, optimized geometry, DFT PBE; values from VASP
&SYSTEM
  ibrav = 0, nat = 4, ntyp = 3
/
ATOMIC_SPECIES
Nb 92.91 Nb.upf
Lu 174.97 Lu.upf
Ge 72.64 Ge.upf
ATOMIC_POSITIONS angstrom
Nb 0.000 0.000 0.000
Lu -0.706 5.426 -0.136
Ge -0.974 8.236 -0.151
Ge -0.437 2.617 -0.122
CELL_PARAMETERS angstrom
-1.077 2.434 -2.692
-2.975 2.269 0.579
2.641 6.150 1.841
! Electronic total energy in eV per atom: -6.43
! Symmetry: R-3m, No. 166
! Total magnetization in Bohr magnetons per cell: 0.0
! Energy of formation from the pure elements in eV per atom: -0.47

! LiCdPb2, optimized geometry, DFT PBE; values from VASP
&SYSTEM
  ibrav = 0, nat = 4, ntyp = 3
/
ATOMIC_SPECIES
Pb 207.20 Pb.upf
Li 6.94 Li.upf
Cd 112.41 Cd.upf
ATOMIC_POSITIONS angstrom
Pb 0.000 1.226 4.699
Pb 2.624 0.741 1.698
Li 2.624 2.991 3.999
Cd 0.000 2.645 1.859
CELL_PARAMETERS angstrom
5.247 0.000 0.000
0.000 3.661 -0.587
0.000 0.844 5.254
! Electronic total energy in eV per atom: -2.67
! Symmetry: Pmm2, No. 25
! Total magnetization in Bohr magnetons per cell: 0.0
! Energy of formation from the pure elements in eV per atom: -0.11